Here is a geometry-optimized Be2TcIr structure from the Alexandria database. Energies are from PBE.

- E_tot: -0.2498 Ha/atom
- ΔE to the lowest computed polymorph: 214 meV per atom
- Calculated formation energy: -0.127 eV per atom
- Symmetry: C2/m
- Total magnetic moment: 0.00 μB/cell

Cell lengths 4.0195, 4.0195, 4.7699 Å; angles 99.96, 99.96, 38.94 degrees
With the nearest neighbours (Å) after each atom.
Fractional positions:
Be: 0.2446 0.2446 0.2398  3 Ir 2.40-2.42, 3 Tc 2.41-2.49, 4 Be 2.67-2.68
Be: 0.7554 0.7554 0.7602  3 Ir 2.40-2.42, 3 Tc 2.41-2.49, 4 Be 2.67-2.68
Tc: 0.0000 0.0000 0.5000  6 Be 2.41-2.49, 2 Tc 2.68
Ir: 0.5000 0.5000 0.0000  6 Be 2.40-2.42, 2 Ir 2.68